No. 1
## CdIn4Ag5 (GGA-PBE)

Data for CdIn4Ag5 after structural relaxation.

abc: 5.043 7.671 8.746
angles: 60.71 55.77 54.02
Atoms (fractional coordinates):
1 Ag 0.204 0.968 0.643
2 Ag 0.501 0.526 0.187
3 Ag 0.911 0.951 0.329
4 Ag 0.544 0.959 0.988
5 Ag 0.216 0.585 0.947
6 In 0.215 0.218 0.267
7 In 0.507 0.247 0.598
8 In 0.850 0.680 0.729
9 In 0.650 0.675 0.374
10 Cd 0.892 0.192 0.937

Properties
* spin magnetization: 0.000 μB/atom
* SG: P1, No. 1
* formation enthalpy at 0 K: 0.04 eV/atom

No. 2
## CdInAg (GGA-PBE)

Data for CdInAg after structural relaxation.

abc: 5.250 5.250 5.250
angles: 142.96 130.92 63.05
Atoms (fractional coordinates):
1 Ag 0.001 0.001 0.000
2 In 0.335 0.335 0.000
3 Cd 0.665 0.665 0.000

Properties
* spin magnetization: 0.000 μB/atom
* SG: Imm2, No. 44
* formation enthalpy at 0 K: 0.02 eV/atom

No. 3
## Cd6InAg12 (GGA-PBE)

Data for Cd6InAg12 after structural relaxation.

abc: 7.222 7.222 7.222
angles: 91.47 91.47 91.47
Atoms (fractional coordinates):
1 In 0.000 0.000 0.000
2 Ag 0.530 0.443 0.793
3 Ag 0.793 0.530 0.443
4 Ag 0.157 0.371 0.041
5 Ag 0.843 0.629 0.959
6 Ag 0.443 0.793 0.530
7 Ag 0.371 0.041 0.157
8 Ag 0.207 0.470 0.557
9 Ag 0.629 0.959 0.843
10 Ag 0.557 0.207 0.470
11 Ag 0.959 0.843 0.629
12 Ag 0.470 0.557 0.207
13 Ag 0.041 0.157 0.371
14 Cd 0.281 0.720 0.885
15 Cd 0.280 0.115 0.719
16 Cd 0.719 0.280 0.115
17 Cd 0.885 0.281 0.720
18 Cd 0.115 0.719 0.280
19 Cd 0.720 0.885 0.281

Properties
* spin magnetization: 0.000 μB/atom
* SG: R-3, No. 148
* formation enthalpy at 0 K: 0.03 eV/atom